Material: TlCu2Br3
Method: DFT, PBE-GGA
State: optimized geometry

a = 4.0882 Å, b = 7.3186 Å, c = 12.9368 Å
α = 115.95°, β = 99.09°, γ = 90.00°
With the nearest neighbours (Å) after each atom.
Positions (direct):
Br 0.3906 0.6749 0.7811  3 Cu 2.50-2.51
Br 0.7690 0.7761 0.5381  3 Cu 2.51-2.53
Br 0.9673 0.2188 0.9345  2 Cu 2.42-2.54
Br 0.0327 0.7812 0.0655  2 Cu 2.42-2.54
Br 0.6094 0.3251 0.2189  3 Cu 2.50-2.51
Br 0.2310 0.2239 0.4619  3 Cu 2.51-2.53
Tl 0.3689 0.1767 0.7378  3 Br 3.15-3.44
Tl 0.6311 0.8233 0.2622  3 Br 3.15-3.44
Cu 0.7143 0.3946 0.4287  4 Br 2.50-2.53, 2 Cu 2.72
Cu 0.9457 0.8614 0.8914  4 Br 2.42-2.54, 1 Cu 2.61
Cu 0.0543 0.1386 0.1086  4 Br 2.42-2.54, 1 Cu 2.61
Cu 0.2857 0.6054 0.5713  4 Br 2.50-2.53, 2 Cu 2.72

Results
* formation energy from raw total energies: -2.62 eV per formula unit
* crystal system: monoclinic